[1]
LiBSbI2: optimized geometry, PBE-GGA.

Energy relative to the elements, uncorrected ... 0.446 eV/atom
DOS at the Fermi energy ... 0.41 states/eV per atom
E_tot ... -2.7167 eV/atom
Magnetization ... 0.0 μB/f.u.

Geometry as CIF:
```
data_LiBSbI2
_chemical_formula_sum 'Li1 B1 Sb1 I2'
_symmetry_space_group_name_H-M 'P 4/m m m'
_symmetry_Int_Tables_number 123
_symmetry_space_group_name_Hall '-P 4 2'
_cell_length_a 5.768
_cell_length_b 5.768
_cell_length_c 4.452
_cell_angle_alpha 90.00
_cell_angle_beta 90.00
_cell_angle_gamma 90.00
loop_
_atom_site_label
_atom_site_fract_x
_atom_site_fract_y
_atom_site_fract_z
_atom_site_occupancy
Li1 0.000 0.000 0.000 1
B1 0.500 0.500 0.500 1
Sb1 0.500 0.500 0.000 1
I1 0.000 0.500 0.500 1
```


[2]
ScIrRuBr2: optimized geometry, PBE-GGA.

Energy relative to the elements, uncorrected ... 1.089 eV/atom
DOS at the Fermi energy ... 1.26 states/eV per atom
E_tot ... -4.4739 eV/atom
Magnetization ... 3.1 μB/f.u.

Geometry as CIF:
```
data_ScIrRuBr2
_chemical_formula_sum 'Sc1 Ir1 Ru1 Br2'
_symmetry_space_group_name_H-M 'P 4/m m m'
_symmetry_Int_Tables_number 123
_symmetry_space_group_name_Hall '-P 4 2'
_cell_length_a 5.012
_cell_length_b 5.012
_cell_length_c 4.982
_cell_angle_alpha 90.00
_cell_angle_beta 90.00
_cell_angle_gamma 90.00
loop_
_atom_site_label
_atom_site_fract_x
_atom_site_fract_y
_atom_site_fract_z
_atom_site_occupancy
Sc1 0.000 0.000 0.000 1
Ir1 0.500 0.500 0.500 1
Ru1 0.000 0.000 0.500 1
Br1 0.000 0.500 0.000 1
```


[3]
NaZrTcO6: optimized geometry, PBE-GGA.

Energy relative to the elements, uncorrected ... -1.951 eV/atom
DOS at the Fermi energy ... 0.00 states/eV per atom
E_tot ... -7.5048 eV/atom
Magnetization ... 0.0 μB/f.u.

Geometry as CIF:
```
data_NaZrTcO6
_chemical_formula_sum 'Na1 Zr1 Tc1 O6'
_symmetry_space_group_name_H-M 'P 3'
_symmetry_Int_Tables_number 143
_cell_length_a 5.3750
_cell_length_b 5.3750
_cell_length_c 5.1070
_cell_angle_alpha 90.00
_cell_angle_beta 90.00
_cell_angle_gamma 120.00
loop_
_symmetry_equiv_pos_as_xyz
'x,y,z'
'-y,x-y,z'
'-x+y,-x,z'
loop_
_atom_site_label
_atom_site_fract_x
_atom_site_fract_y
_atom_site_fract_z
_atom_site_occupancy
Na1 0.0000 0.0000 0.0000 1
Zr1 0.3333 0.6667 0.4285 1
Tc1 0.6667 0.3333 0.5236 1
O1 0.3880 0.3515 0.2763 1
O2 0.3921 0.0204 0.6999 1
```


[4]
SnAsSe3: optimized geometry, PBE-GGA.

Energy relative to the elements, uncorrected ... -0.215 eV/atom
DOS at the Fermi energy ... 0.51 states/eV per atom
E_tot ... -4.0358 eV/atom
Magnetization ... 0.0 μB/f.u.

Geometry as CIF:
```
data_SnAsSe3
_chemical_formula_sum 'Sn2 As2 Se6'
_symmetry_space_group_name_H-M 'P 63 m c'
_symmetry_Int_Tables_number 186
_symmetry_space_group_name_Hall 'P 6c -2c'
_cell_length_a 3.9323
_cell_length_b 3.9323
_cell_length_c 18.9185
_cell_angle_alpha 90.00
_cell_angle_beta 90.00
_cell_angle_gamma 120.00
loop_
_atom_site_label
_atom_site_fract_x
_atom_site_fract_y
_atom_site_fract_z
_atom_site_occupancy
Sn1 0.0000 0.0000 0.0000 1
As1 0.3333 0.6667 0.1920 1
Se1 0.0000 0.0000 0.2667 1
Se2 0.3333 0.6667 0.6013 1
Se3 0.3333 0.6667 0.9173 1
```